TlIn2Pb at its PBEsol-relaxed geometry. Source: Alexandria, functional SCAN.

Computed properties:
M_tot	0.0	μB/f.u.
formation energy	0.06	eV per atom
ΔE to the lowest computed polymorph	13	meV per atom
crystal system	monoclinic

Structure (CIF):
```
data_TlIn2Pb
_space_group_name_H-M_alt 'P 1 m 1'
_space_group_IT_number 6
_space_group_name_Hall 'P -2y'
_cell_length_a 3.3116
_cell_length_b 5.4160
_cell_length_c 6.1450
_cell_angle_alpha 90.00
_cell_angle_beta 97.00
_cell_angle_gamma 90.00
loop_
_atom_site_label
_atom_site_fract_x
_atom_site_fract_y
_atom_site_fract_z
_atom_site_occupancy
Tl1 0.0000 0.0000 0.0000 1
In1 0.5576 0.0000 0.4896 1
In2 0.7806 0.5000 0.2635 1
Pb1 0.3609 0.5000 0.7513 1
```

***

TlIn2Pb at its PBEsol-relaxed geometry. Source: Alexandria, functional SCAN.

Computed properties:
M_tot	0.0	μB/f.u.
formation energy	0.07	eV per atom
ΔE to the lowest computed polymorph	28	meV per atom
crystal system	monoclinic

Structure (CIF):
```
data_TlIn2Pb
_space_group_name_H-M_alt 'C 1 2/m 1'
_space_group_IT_number 12
_space_group_name_Hall '-C 2y'
_cell_length_a 6.5392
_cell_length_b 10.9377
_cell_length_c 3.3217
_cell_angle_alpha 90.00
_cell_angle_beta 113.31
_cell_angle_gamma 90.00
loop_
_atom_site_label
_atom_site_fract_x
_atom_site_fract_y
_atom_site_fract_z
_atom_site_occupancy
Tl1 0.0000 0.0000 0.0000 1
In1 0.2500 0.2500 0.5000 1
Pb1 0.0000 0.5000 0.0000 1
```

***

TlIn2Pb at its PBEsol-relaxed geometry. Source: Alexandria, functional SCAN.

Computed properties:
M_tot	0.0	μB/f.u.
formation energy	0.05	eV per atom
ΔE to the lowest computed polymorph	11	meV per atom
crystal system	monoclinic

Structure (CIF):
```
data_TlIn2Pb
_space_group_name_H-M_alt 'C 1 2/m 1'
_space_group_IT_number 12
_space_group_name_Hall '-C 2y'
_cell_length_a 5.6512
_cell_length_b 3.4688
_cell_length_c 11.3969
_cell_angle_alpha 90.00
_cell_angle_beta 102.58
_cell_angle_gamma 90.00
loop_
_atom_site_label
_atom_site_fract_x
_atom_site_fract_y
_atom_site_fract_z
_atom_site_occupancy
Tl1 0.0000 0.0000 0.0000 1
In1 0.0158 0.5000 0.2479 1
Pb1 0.0000 0.0000 0.5000 1
```

***

TlInPbW2 at its PBEsol-relaxed geometry. Source: Alexandria, functional SCAN.

Computed properties:
M_tot	5.8	μB/f.u.
formation energy	2.30	eV per atom
crystal system	tetragonal

Structure (CIF):
```
data_TlInPbW2
_space_group_name_H-M_alt 'P 4/m m m'
_space_group_IT_number 123
_space_group_name_Hall '-P 4 2'
_cell_length_a 5.1278
_cell_length_b 5.1278
_cell_length_c 5.3274
_cell_angle_alpha 90.00
_cell_angle_beta 90.00
_cell_angle_gamma 90.00
loop_
_atom_site_label
_atom_site_fract_x
_atom_site_fract_y
_atom_site_fract_z
_atom_site_occupancy
Tl1 0.0000 0.0000 0.0000 1
In1 0.0000 0.0000 0.5000 1
Pb1 0.5000 0.5000 0.0000 1
W1 0.0000 0.5000 0.5000 1
```

***

In2PbW at its PBEsol-relaxed geometry. Source: Alexandria, functional SCAN.

Computed properties:
M_tot	0.0	μB/f.u.
formation energy	0.60	eV per atom
crystal system	trigonal

Structure (CIF):
```
data_In2PbW
_space_group_name_H-M_alt 'R 3 m'
_space_group_IT_number 160
_space_group_name_Hall 'R 3 -2"'
_cell_length_a 3.0953
_cell_length_b 3.0953
_cell_length_c 32.8460
_cell_angle_alpha 90.00
_cell_angle_beta 90.00
_cell_angle_gamma 120.00
loop_
_atom_site_label
_atom_site_fract_x
_atom_site_fract_y
_atom_site_fract_z
_atom_site_occupancy
In1 0.0000 0.0000 0.0000 1
In2 0.0000 0.0000 0.2487 1
Pb1 0.0000 0.0000 0.7713 1
W1 0.0000 0.0000 0.5121 1
```

***

InPbW2 at its PBEsol-relaxed geometry. Source: Alexandria, functional SCAN.

Computed properties:
M_tot	0.0	μB/f.u.
formation energy	0.62	eV per atom
ΔE to the lowest computed polymorph	0	meV per atom
crystal system	orthorhombic

Structure (CIF):
```
data_InPbW2
_space_group_name_H-M_alt 'C m m 2'
_space_group_IT_number 35
_space_group_name_Hall 'C 2 -2'
_cell_length_a 3.2891
_cell_length_b 4.8943
_cell_length_c 10.2502
_cell_angle_alpha 90.00
_cell_angle_beta 90.00
_cell_angle_gamma 90.00
loop_
_atom_site_label
_atom_site_fract_x
_atom_site_fract_y
_atom_site_fract_z
_atom_site_occupancy
In1 0.0000 0.0000 0.0000 1
Pb1 0.0000 0.5000 0.3196 1
W1 0.0000 0.0000 0.5702 1
W2 0.0000 0.5000 0.7613 1
```

***

InPb2W at its PBEsol-relaxed geometry. Source: Alexandria, functional SCAN.

Computed properties:
M_tot	0.0	μB/f.u.
formation energy	0.97	eV per atom
crystal system	orthorhombic

Structure (CIF):
```
data_InPb2W
_space_group_name_H-M_alt 'P m m m'
_space_group_IT_number 47
_space_group_name_Hall '-P 2 2'
_cell_length_a 3.0739
_cell_length_b 4.6402
_cell_length_c 6.4490
_cell_angle_alpha 90.00
_cell_angle_beta 90.00
_cell_angle_gamma 90.00
loop_
_atom_site_label
_atom_site_fract_x
_atom_site_fract_y
_atom_site_fract_z
_atom_site_occupancy
In1 0.0000 0.0000 0.0000 1
Pb1 0.5000 0.5000 0.2679 1
W1 0.0000 0.0000 0.5000 1
```

***

InPb2W at its PBEsol-relaxed geometry. Source: Alexandria, functional SCAN.

Computed properties:
M_tot	0.0	μB/f.u.
formation energy	0.65	eV per atom
crystal system	trigonal

Structure (CIF):
```
data_InPb2W
_space_group_name_H-M_alt 'R 3 m'
_space_group_IT_number 160
_space_group_name_Hall 'R 3 -2"'
_cell_length_a 3.1569
_cell_length_b 3.1569
_cell_length_c 32.4338
_cell_angle_alpha 90.00
_cell_angle_beta 90.00
_cell_angle_gamma 120.00
loop_
_atom_site_label
_atom_site_fract_x
_atom_site_fract_y
_atom_site_fract_z
_atom_site_occupancy
In1 0.0000 0.0000 0.0000 1
Pb1 0.0000 0.0000 0.2462 1
Pb2 0.0000 0.0000 0.4773 1
W1 0.0000 0.0000 0.7365 1
```